[1]
Computed, not measured: ZnCd2Rh at its PBEsol-relaxed geometry at the SCAN level of DFT.

Computed properties:
The space-group type is P4mm, No. 99. For the density of states at the Fermi level, the calculation gives 1.252 states/eV/f.u. For the magnetization, the calculation gives 0.0 μB per formula unit. The calculation puts the calculated total energy at -108.71 eV per cell.

The structure in extended XYZ format:
```
4
Lattice="3.107 0.000 0.000 0.000 3.107 0.000 0.000 0.000 6.898" Properties=species:S:1:pos:R:3 pbc="T T T"
Zn 0.000 0.000 0.000
Cd 0.000 0.000 3.913
Cd 1.554 1.554 1.802
Rh 1.554 1.554 5.667
```



[2]
Computed, not measured: Tl2CrRe at its PBEsol-relaxed geometry at the SCAN level of DFT.

Computed properties:
The space-group type is Cm, No. 8. For the density of states at the Fermi level, the calculation gives 2.611 states/eV/f.u. For the magnetization, the calculation gives 1.4 μB per formula unit. The calculation puts the calculated total energy at -230.95 eV per cell. The distance to the lowest polymorph of the same formula comes out at 0.212 eV/atom.

The structure in extended XYZ format:
```
4
Lattice="5.783 -1.512 0.000 5.783 1.512 0.000 -1.927 0.000 4.383" Properties=species:S:1:pos:R:3 pbc="T T T"
Tl 0.000 0.000 0.000
Tl 1.187 0.000 2.872
Cr 4.263 0.000 1.994
Re 8.665 0.000 0.989
```



Question: Look up the magnetization of the second one.
Answer: 1.4 μB per formula unit



Question: Which of these has the highest density of states at the Fermi level?
Answer: Tl2CrRe



What did the second record say?
Computed, not measured: Tl2CrRe at its PBEsol-relaxed geometry at the SCAN level of DFT.

Computed properties:
The space-group type is Cm, No. 8. For the density of states at the Fermi level, the calculation gives 2.611 states/eV/f.u. For the magnetization, the calculation gives 1.4 μB per formula unit. The calculation puts the calculated total energy at -230.95 eV per cell. The distance to the lowest polymorph of the same formula comes out at 0.212 eV/atom.

The structure in extended XYZ format:
```
4
Lattice="5.783 -1.512 0.000 5.783 1.512 0.000 -1.927 0.000 4.383" Properties=species:S:1:pos:R:3 pbc="T T T"
Tl 0.000 0.000 0.000
Tl 1.187 0.000 2.872
Cr 4.263 0.000 1.994
Re 8.665 0.000 0.989
```



Question: The lowest magnetization belongs to which entry?
Answer: ZnCd2Rh